#w
This record from Alexandria describes a geometry-optimized CsGa2Bi2 structure. The functional is GGA-PBE.

The space group is P4/mbm (No. 127) and the conventional cell measures 9.420, 9.420 and 3.763 Å, with angles of 90.00, 90.00 and 90.00 degrees. The asymmetric unit holds Cs at (0.000, 0.000, 0.000), Ga at (0.137, 0.363, 0.000) and Bi at (0.124, 0.624, 0.500).

=====

#x
This record from Alexandria describes a geometry-optimized CsGa2Bi2 structure. The functional is GGA-PBE.

The space group is C2/c (No. 15) and the conventional cell measures 8.299, 13.397 and 7.946 Å, with angles of 90.00, 119.67 and 90.00 degrees. The asymmetric unit holds Cs at (0.000, 0.125, 0.250), Ga at (0.134, 0.375, 0.002), Bi at (0.000, 0.203, 0.750) and Bi at (0.000, 0.451, 0.250).

=====

#y
This record from Alexandria describes a geometry-optimized CsGa2Bi2 structure. The functional is GGA-PBE.

The space group is I4/mmm (No. 139) and the conventional cell measures 4.807, 4.807 and 15.856 Å, with angles of 90.00, 90.00 and 90.00 degrees. The asymmetric unit holds Cs at (0.000, 0.000, 0.000), Ga at (0.000, 0.500, 0.250) and Bi at (0.000, 0.000, 0.355).

=====

It is #w that is the least stable of them.

=====

#w
This record from Alexandria describes a geometry-optimized CsGa2Bi2 structure. The functional is GGA-PBE.

The space group is P4/mbm (No. 127) and the conventional cell measures 9.613, 9.613 and 3.825 Å, with angles of 90.00, 90.00 and 90.00 degrees. The asymmetric unit holds Cs at (0.000, 0.000, 0.000), Ga at (0.137, 0.363, 0.500) and Bi at (0.116, 0.616, 0.000).

=====

#x
This record from Alexandria describes a geometry-optimized CsGa2Bi2 structure. The functional is GGA-PBE.

The space group is I4/mmm (No. 139) and the conventional cell measures 5.119, 5.119 and 12.686 Å, with angles of 90.00, 90.00 and 90.00 degrees. The asymmetric unit holds Cs at (0.000, 0.000, 0.000), Ga at (0.000, 0.000, 0.386) and Bi at (0.000, 0.500, 0.250).

=====

It is #w that is the least stable of them.

=====

#w
This record from Alexandria describes a geometry-optimized CsGaBi4 structure. The functional is GGA-PBE.

The space group is C2/m (No. 12) and the conventional cell measures 14.846, 7.948 and 7.927 Å, with angles of 90.00, 98.77 and 90.00 degrees. The asymmetric unit holds Cs at (0.232, 0.000, 0.362), Ga at (0.044, 0.500, 0.275), Bi at (0.000, 0.223, 0.500), Bi at (0.086, 0.214, 0.904) and Bi at (0.203, 0.500, 0.108).

=====

#x
This record from Alexandria describes a geometry-optimized CsGaBi4 structure. The functional is GGA-PBE.

The space group is F-43m (No. 216) and the conventional cell measures 9.583, 9.583 and 9.583 Å, with angles of 90.00, 90.00 and 90.00 degrees. The asymmetric unit holds Cs at (0.000, 0.000, 0.000), Ga at (0.250, 0.250, 0.750) and Bi at (0.123, 0.123, 0.377).

=====

It is #x that is the least stable of them.